[1]
Nd2Sm2Ge3 | GGA-PBE | optimized geometry

Cell: 4.2236 7.2628 7.6603 Å, 100.93 90.01 106.90°
Sites, in units of the cell vectors:
Ge: 0.7624 0.5249 0.2599
Ge: 0.2376 0.4751 0.7401
Ge: 0.0000 0.0000 0.0000
Nd: 0.8659 0.7320 0.6403
Nd: 0.1341 0.2680 0.3597
Sm: 0.3703 0.7408 0.1056
Sm: 0.6297 0.2592 0.8944

space-group type	No. 12
density	6.08	g/cm³
total magnetic moment	0.27	μB/cell
calculated volume	31.482	Å³ per atom
ΔH_f (0 K)	-603	meV per atom


[2]
CaFe2N2 | GGA-PBE | optimized geometry

Cell: 6.9774 6.9774 3.0365 Å, 90.00 90.00 90.00°
Sites, in units of the cell vectors:
Fe: 0.6104 0.1104 0.0000
Fe: 0.1104 0.3896 0.0000
Fe: 0.3896 0.8896 0.0000
Fe: 0.8896 0.6104 0.0000
Ca: 0.0000 0.0000 0.0000
Ca: 0.5000 0.5000 0.0000
N: 0.6909 0.1909 0.5000
N: 0.8091 0.6909 0.5000
N: 0.3091 0.8091 0.5000
N: 0.1909 0.3091 0.5000

space-group type	No. 127
density	4.04	g/cm³
total magnetic moment	0.00	μB/cell
E_form (uncorrected)	0.26	eV/atom
calculated volume	14.783	Å³ per atom


[3]
BRuRh | GGA-PBE | optimized geometry

Cell: 2.7855 2.7855 15.6549 Å, 90.00 90.00 120.00°
Sites, in units of the cell vectors:
Rh: 0.3333 0.6667 0.1350
Rh: 0.6667 0.3333 0.8017
Rh: 0.0000 0.0000 0.4684
B: 0.6667 0.3333 0.5636
B: 0.0000 0.0000 0.2303
B: 0.3333 0.6667 0.8970
Ru: 0.3333 0.6667 0.3211
Ru: 0.6667 0.3333 0.9878
Ru: 0.0000 0.0000 0.6544

space-group type	No. 160
density	10.17	g/cm³
total magnetic moment	0.00	μB/cell
calculated volume	11.688	Å³ per atom
ΔH_f (0 K)	-123	meV per atom